# 1
# NaTmB4

An optimized crystal structure of NaTmB4 (PBE-GGA, the Open Quantum Materials Database).

Its energy above the lowest structure with this stoichiometry is 0.0 meV/atom.

It has space group Immm (No. 71), with a = 3.1486 Å, b = 5.5013 Å, c = 7.8224 Å, α = 90.00°, β = 90.00° and γ = 90.00°. Symmetry generates all atoms from Na at (0.0000, 0.0000, 0.0000), Tm at (0.0000, 0.0000, 0.5000) and B at (0.0000, 0.3217, 0.2426).

# 2
# BeCoAsOs

An optimized crystal structure of BeCoAsOs (PBE-GGA, the Open Quantum Materials Database).

Its energy above the lowest structure with this stoichiometry is 0.0 meV/atom.

It has space group F-43m (No. 216), with a = 5.7341 Å, b = 5.7341 Å, c = 5.7341 Å, α = 90.00°, β = 90.00° and γ = 90.00°. Symmetry generates all atoms from Be at (0.0000, 0.0000, 0.0000), Co at (0.2500, 0.2500, 0.7500), As at (0.0000, 0.0000, 0.5000) and Os at (0.2500, 0.2500, 0.2500).

# 3
# KSiAgS3

An optimized crystal structure of KSiAgS3 (PBE-GGA, the Open Quantum Materials Database).

Its energy above the lowest structure with this stoichiometry is 142.2 meV/atom.

It has space group Cmcm (No. 63), with a = 3.4384 Å, b = 15.2308 Å, c = 10.0349 Å, α = 90.00°, β = 90.00° and γ = 90.00°. Symmetry generates all atoms from K at (0.0000, 0.2140, 0.2500), Si at (0.0000, 0.5000, 0.0000), Ag at (0.0000, 0.0968, 0.7500), S at (0.0000, 0.1065, 0.5130) and S at (0.0000, 0.4605, 0.7500).